This record from the Alexandria database describes crystalline Hf2TiVTe at its relaxed geometry. The functional is PBE-GGA.

a = 5.1664 Å, b = 4.8389 Å, c = 5.1664 Å
α = 90.00°, β = 90.00°, γ = 90.00°
Atoms (fractional coordinates):
Ti (0.0000, 0.5000, 0.0000)
Te (0.0000, 0.0000, 0.0000)
Hf (0.0000, 0.0000, 0.5000)
Hf (0.5000, 0.0000, 0.0000)
V (0.5000, 0.5000, 0.5000)

Calculated values
* ΔE_f (raw): 1.209 eV/atom
* total DFT energy (no corrections): -34.0 eV/f.u.